Entry from Alexandria via LeMat-Bulk: Li3Mn2NiO6 after structural relaxation (PBE with a Hubbard U).

Properties
* D(E_F): 0.81 states/eV/f.u.
* calculated volume: 110.4 Å³/f.u.
* calculated total energy: -72.9 eV per cell

Cell: 2.971 6.022 6.526 Å, 102.93 102.93 92.23°
Sites, in units of the cell vectors:
Li 0.000 0.000 0.000
Li 0.293 0.675 0.648
Li 0.621 0.339 0.325
Mn 0.295 0.166 0.649
Mn 0.946 0.510 0.992
Ni 0.634 0.839 0.328
O 0.106 0.587 0.299
O 0.148 0.083 0.333
O 0.430 0.288 0.981
O 0.460 0.724 0.988
O 0.764 0.418 0.675
O 0.844 0.936 0.665